A relaxed structure of CaCdGa2Rh. Source: the Alexandria database, functional PBE.

Cell lengths 4.7730, 4.7730, 5.1928 Å; angles 90.00, 90.00, 90.00 degrees
Fractional coordinates of all 5 atoms:
Ca (0.0000, 0.0000, 0.0000)
Cd (0.5000, 0.5000, 0.0000)
Ga (0.0000, 0.5000, 0.5000)
Ga (0.5000, 0.0000, 0.5000)
Rh (0.5000, 0.5000, 0.5000)

As for the energy of formation: -0.321 eV/atom. The density of states at the Fermi level is 4.1 states/eV/cell. The volume comes out at 118.3 Å³/f.u.

=====

A relaxed structure of CsCd2InBr6. Source: the Alexandria database, functional PBE.

Cell lengths 10.7994, 10.7994, 7.4980 Å; angles 94.08, 94.08, 90.84 degrees
Fractional coordinates of all 20 atoms:
Cs (0.1040, 0.8960, 0.7500)
Cs (0.8960, 0.1040, 0.2500)
Cd (0.2070, 0.3735, 0.7198)
Cd (0.3735, 0.2070, 0.2198)
Cd (0.6265, 0.7930, 0.7802)
Cd (0.7930, 0.6265, 0.2802)
In (0.2925, 0.7075, 0.2500)
In (0.7075, 0.2925, 0.7500)
Br (0.0149, 0.2213, 0.7027)
Br (0.1653, 0.5881, 0.8764)
Br (0.2213, 0.0149, 0.2027)
Br (0.2671, 0.4062, 0.3807)
Br (0.4062, 0.2671, 0.8807)
Br (0.4119, 0.8347, 0.6236)
Br (0.5881, 0.1653, 0.3764)
Br (0.5938, 0.7329, 0.1193)
Br (0.7329, 0.5938, 0.6193)
Br (0.7787, 0.9851, 0.7973)
Br (0.8347, 0.4119, 0.1236)
Br (0.9851, 0.7787, 0.2973)

The density of states at the Fermi level is 0.0 states/eV/cell. The total energy comes out at -2.539 eV/atom. The volume comes out at 434.9 Å³/f.u.

=====

A relaxed structure of Y2US3. Source: the Alexandria database, functional PBE.

Cell lengths 6.7415, 6.7415, 6.8034 Å; angles 99.50, 99.50, 120.03 degrees
Fractional coordinates of all 12 atoms:
Y (0.0000, 0.0000, 0.0000)
Y (0.1646, 0.8354, 0.5000)
Y (0.5000, 0.5000, 0.5000)
Y (0.8354, 0.1646, 0.5000)
U (0.3337, 0.6663, 0.0000)
U (0.6663, 0.3337, 0.0000)
S (0.0835, 0.4183, 0.2503)
S (0.2517, 0.2517, 0.7510)
S (0.4183, 0.0835, 0.2503)
S (0.5817, 0.9165, 0.7497)
S (0.7483, 0.7483, 0.2490)
S (0.9165, 0.5817, 0.7497)

The density of states at the Fermi level is 15.2 states/eV/cell. The total energy comes out at -7.866 eV/atom. The volume comes out at 126.3 Å³/f.u.

=====

A relaxed structure of ScBeIn2. Source: the Alexandria database, functional PBE.

Cell lengths 4.2660, 4.2660, 19.6026 Å; angles 90.00, 90.00, 90.00 degrees
Fractional coordinates of all 16 atoms:
Sc (0.0000, 0.0000, 0.0000)
Sc (0.0000, 0.5000, 0.2500)
Sc (0.5000, 0.0000, 0.7500)
Sc (0.5000, 0.5000, 0.5000)
Be (0.0000, 0.0000, 0.5000)
Be (0.0000, 0.5000, 0.7500)
Be (0.5000, 0.0000, 0.2500)
Be (0.5000, 0.5000, 0.0000)
In (0.2330, 0.2500, 0.6250)
In (0.2500, 0.7330, 0.8750)
In (0.2500, 0.7670, 0.3750)
In (0.2670, 0.2500, 0.1250)
In (0.7330, 0.7500, 0.1250)
In (0.7500, 0.2330, 0.3750)
In (0.7500, 0.2670, 0.8750)
In (0.7670, 0.7500, 0.6250)

As for the energy of formation: 0.296 eV/atom. The density of states at the Fermi level is 10.2 states/eV/cell. The volume comes out at 89.2 Å³/f.u.

=====

A relaxed structure of K2HfInBr8. Source: the Alexandria database, functional PBE.

Cell lengths 6.9648, 8.8182, 7.4331 Å; angles 90.00, 93.21, 90.00 degrees
Fractional coordinates of all 12 atoms:
K (0.0000, 0.2464, 0.0000)
K (0.0000, 0.7536, 0.0000)
Hf (0.5000, 0.0000, 0.5000)
In (0.5000, 0.5000, 0.5000)
Br (0.2750, 0.5000, 0.1826)
Br (0.2798, 0.2170, 0.6211)
Br (0.2798, 0.7830, 0.6211)
Br (0.2996, 0.0000, 0.1923)
Br (0.7004, 0.0000, 0.8077)
Br (0.7202, 0.2170, 0.3789)
Br (0.7202, 0.7830, 0.3789)
Br (0.7250, 0.5000, 0.8174)

The density of states at the Fermi level is 3.6 states/eV/cell. The total energy comes out at -3.662 eV/atom. The volume comes out at 455.8 Å³/f.u.

=====

Repeat the fifth record exactly.
A relaxed structure of K2HfInBr8. Source: the Alexandria database, functional PBE.

Cell lengths 6.9648, 8.8182, 7.4331 Å; angles 90.00, 93.21, 90.00 degrees
Fractional coordinates of all 12 atoms:
K (0.0000, 0.2464, 0.0000)
K (0.0000, 0.7536, 0.0000)
Hf (0.5000, 0.0000, 0.5000)
In (0.5000, 0.5000, 0.5000)
Br (0.2750, 0.5000, 0.1826)
Br (0.2798, 0.2170, 0.6211)
Br (0.2798, 0.7830, 0.6211)
Br (0.2996, 0.0000, 0.1923)
Br (0.7004, 0.0000, 0.8077)
Br (0.7202, 0.2170, 0.3789)
Br (0.7202, 0.7830, 0.3789)
Br (0.7250, 0.5000, 0.8174)

The density of states at the Fermi level is 3.6 states/eV/cell. The total energy comes out at -3.662 eV/atom. The volume comes out at 455.8 Å³/f.u.